Below is a relaxed NaSn2As2 crystal, with properties calculated at the PBE level.

```
NaSn2As2
1.0
5.209 0.000 0.000
0.000 5.209 0.000
2.605 2.605 5.282
Na As Sn
1 2 2
direct
0.000 0.000 0.000
0.365 0.365 0.269
0.635 0.635 0.731
0.750 0.250 0.500
0.250 0.750 0.500
```

Results
The value obtained for the formation enthalpy at 0 K is -0.70 kcal/mol of atoms. The crystal system is tetragonal. As for the offset from the most stable computed form: 223 meV/atom.

---

Below is a relaxed KTm2PdO4 crystal, with properties calculated at the PBE level.

```
KTm2PdO4
1.0
6.465 -0.839 -1.209
-3.848 5.262 1.209
-3.848 -0.709 5.352
K Tm Pd O
1 2 1 4
direct
0.000 0.000 0.000
0.500 0.750 0.250
0.500 0.250 0.750
0.000 0.500 0.500
0.000 0.125 0.570
0.556 0.430 0.430
0.444 0.875 0.875
0.000 0.570 0.125
```

Results
The crystal system is tetragonal. The calculation puts the uncorrected formation energy at -2.1757 eV per atom.

---

Below is a relaxed KTlOs crystal, with properties calculated at the PBE level.

```
KTlOs
1.0
-1.458 -1.690 2.129
-0.241 -0.738 -2.985
6.548 -4.814 0.660
K Os Tl
1 1 1
direct
0.000 0.000 0.015
0.667 0.333 0.351
0.333 0.667 0.634
```

Results
The value obtained for the formation enthalpy at 0 K is 24.18 kcal/mol of atoms. The crystal system is trigonal. As for the offset from the most stable computed form: 135 meV/atom.

---

Below is a relaxed Rb2Cd3BiAu4 crystal, with properties calculated at the PBE level.

```
Rb2Cd3BiAu4
1.0
5.014 0.000 0.000
0.000 5.014 0.000
0.000 0.000 11.320
Rb Cd Bi Au
2 3 1 4
direct
0.500 0.000 0.238
0.000 0.500 0.762
0.000 0.000 0.500
0.500 0.000 0.877
0.000 0.500 0.123
0.500 0.500 0.500
0.500 0.500 0.000
0.000 0.000 0.000
0.500 0.000 0.629
0.000 0.500 0.371
```

Results
The value obtained for the formation enthalpy at 0 K is -4.94 kcal/mol of atoms. The crystal system is tetragonal.

---

Below is a relaxed LaSmDy5 crystal, with properties calculated at the PBE level.

```
LaSmDy5
1.0
5.778 0.000 0.000
2.889 7.315 0.472
2.889 1.773 7.113
La Sm Dy
1 1 5
direct
0.000 0.000 0.000
0.500 0.500 0.500
0.500 0.180 0.820
0.500 0.820 0.180
0.748 0.252 0.252
0.252 0.748 0.748
0.000 0.500 0.500
```

Results
The value obtained for the formation enthalpy at 0 K is 25.01 kcal/mol of atoms. The crystal system is orthorhombic. As for the offset from the most stable computed form: 891 meV/atom.

---

Below is a relaxed Li6InHg6 crystal, with properties calculated at the PBE level.

```
Li6InHg6
1.0
-3.270 4.767 -1.154
1.073 -3.939 -4.252
-7.857 -4.794 2.458
Li In Hg
6 1 6
direct
0.000 0.000 0.671
0.000 0.000 0.329
0.333 0.667 0.000
0.667 0.333 0.000
0.333 0.667 0.500
0.667 0.333 0.500
0.000 0.000 0.000
0.000 0.500 0.747
0.500 0.000 0.747
0.500 0.500 0.747
0.500 0.000 0.253
0.000 0.500 0.253
0.500 0.500 0.253
```

Results
The value obtained for the formation enthalpy at 0 K is -4.34 kcal/mol of atoms. The crystal system is hexagonal.

---

Below is a relaxed AuSO4 crystal, with properties calculated at the PBE level.

```
AuSO4
1.0
8.577 0.000 0.000
0.000 8.778 0.000
0.000 0.000 10.698
Au S O
8 8 32
direct
0.945 0.367 0.016
0.445 0.633 0.484
0.555 0.867 0.984
0.055 0.133 0.516
0.055 0.633 0.984
0.555 0.367 0.516
0.445 0.133 0.016
0.945 0.867 0.484
0.235 0.419 0.639
0.735 0.581 0.861
0.265 0.919 0.361
0.765 0.081 0.139
0.765 0.581 0.361
0.265 0.419 0.139
0.735 0.081 0.639
0.235 0.919 0.861
0.358 0.365 0.029
0.858 0.635 0.471
0.142 0.865 0.971
0.642 0.135 0.529
0.642 0.635 0.971
0.142 0.365 0.529
0.858 0.135 0.029
0.358 0.865 0.471
0.774 0.414 0.889
0.274 0.586 0.611
0.726 0.914 0.111
0.226 0.086 0.389
0.226 0.586 0.111
0.726 0.414 0.389
0.274 0.086 0.889
0.774 0.914 0.611
0.157 0.911 0.742
0.657 0.089 0.758
0.343 0.411 0.258
0.843 0.589 0.242
0.843 0.089 0.258
0.343 0.911 0.242
0.657 0.589 0.742
0.157 0.411 0.758
0.113 0.827 0.353
0.613 0.173 0.147
0.387 0.327 0.647
0.887 0.673 0.853
0.887 0.173 0.647
0.387 0.827 0.853
0.613 0.673 0.353
0.113 0.327 0.147
```

Results
The crystal system is orthorhombic. The calculation puts the uncorrected formation energy at -0.8437 eV per atom.

---

Below is a relaxed Cs2HoPa3O12 crystal, with properties calculated at the PBE level.

```
Cs2HoPa3O12
1.0
-2.695 7.520 -0.722
-2.731 2.381 -7.156
-7.893 1.135 -0.862
Cs Ho Pa O
2 1 3 12
direct
0.635 0.635 0.635
0.365 0.365 0.365
0.000 0.000 0.000
0.500 0.000 0.000
0.000 0.500 0.000
0.000 0.000 0.500
0.313 0.313 0.942
0.934 0.934 0.326
0.326 0.934 0.934
0.942 0.313 0.313
0.934 0.326 0.934
0.313 0.942 0.313
0.687 0.687 0.058
0.066 0.066 0.674
0.674 0.066 0.066
0.058 0.687 0.687
0.066 0.674 0.066
0.687 0.058 0.687
```

Results
The crystal system is trigonal. The calculation puts the uncorrected formation energy at -2.7283 eV per atom.

---

| no. | spin magnetization (μB per formula unit) | density (g/cm3) |
| --- | --- | --- |
| 1 | 0.00 | 4.75 |
| 2 | 1.00 | 6.21 |
| 3 | 0.00 | 10.72 |
| 4 | 0.00 | 8.78 |
| 5 | 0.01 | 6.19 |
| 6 | 0.00 | 7.88 |
| 7 | 0.00 | 4.83 |
| 8 | 3.41 | 5.76 |